## CuTcO2F (meta-GGA SCAN)

Data for CuTcO2F at its PBEsol-relaxed geometry.

Calculated volume ... 62 Å³/cell
Magnetic moment ... 1.08 μB per atom
E_form (uncorrected) ... 19.74 kcal/mol of atoms
SG ... No. 123

```
data_CuTcO2F
_chemical_formula_sum 'Cu1 Tc1 O2 F1'
_cell_length_a 4.181
_cell_length_b 4.181
_cell_length_c 3.554
_cell_angle_alpha 90.00
_cell_angle_beta 90.00
_cell_angle_gamma 90.00
_space_group_name_H-M_alt 'P 1'
_space_group_IT_number 1
loop_
_space_group_symop_operation_xyz
'x,y,z'
loop_
_atom_site_label
_atom_site_type_symbol
_atom_site_fract_x
_atom_site_fract_y
_atom_site_fract_z
Cu1 Cu 0.000 0.000 0.000
Tc1 Tc 0.500 0.500 0.000
O1 O 0.000 0.500 0.500
O2 O 0.500 0.000 0.500
F1 F 0.500 0.500 0.500
```